A relaxed structure of Ac3MgCd2, computed with PBE.

Computed properties:
energy of formation: -220 meV per atom
ΔE to the lowest computed polymorph: 6 meV per atom
total DFT energy (no corrections): -17.07 eV for the cell shown

The structure in POSCAR format:
```
Ac3MgCd2
1.0
4.098 0.000 0.000
0.000 4.098 0.000
0.000 0.000 12.223
Cd Ac Mg
2 3 1
Cartesian
2.049 2.049 10.158 Cd
2.049 2.049 2.065 Cd
0.000 0.000 8.170 Ac
0.000 0.000 4.053 Ac
0.000 0.000 0.000 Ac
2.049 2.049 6.112 Mg
```

---

A relaxed structure of AcMg2Cd9, computed with PBE.

Computed properties:
energy of formation: -79 meV per atom
ΔE to the lowest computed polymorph: 102 meV per atom
total DFT energy (no corrections): -16.48 eV for the cell shown

The structure in POSCAR format:
```
AcMg2Cd9
1.0
-1.882 2.825 0.505
-5.003 -4.628 7.253
8.262 5.122 2.138
Cd Mg Ac
9 2 1
Cartesian
-1.259 0.659 3.285 Cd
-2.502 -2.314 3.627 Cd
4.905 4.758 3.323 Cd
1.629 0.247 4.696 Cd
2.636 2.659 6.612 Cd
1.158 2.436 2.353 Cd
4.131 2.561 1.069 Cd
-3.528 -1.440 6.574 Cd
0.219 0.883 7.544 Cd
-0.581 -1.378 5.548 Mg
3.840 1.872 3.843 Mg
0.000 0.000 0.000 Ac
```

---

A relaxed structure of Ac6Mg2Cd, computed with PBE.

Computed properties:
energy of formation: -16 meV per atom
total DFT energy (no corrections): -57.81 eV for the cell shown

The structure in POSCAR format:
```
Ac6Mg2Cd
1.0
9.700 0.430 0.050
-3.278 9.140 -0.050
-3.380 -4.671 7.813
Ac Cd Mg
12 2 4
Cartesian
-2.768 5.597 5.245 Ac
3.471 0.871 5.295 Ac
5.811 -0.699 2.568 Ac
-2.838 -1.419 6.405 Ac
-0.429 4.027 2.517 Ac
-3.729 2.503 7.323 Ac
-0.460 0.308 3.511 Ac
0.238 3.164 6.405 Ac
5.881 6.317 1.407 Ac
6.772 2.395 0.490 Ac
3.502 4.590 4.302 Ac
2.804 1.734 1.407 Ac
-3.329 2.234 3.881 Cd
0.000 0.000 0.000 Cd
4.007 -2.689 4.985 Mg
0.701 -0.470 6.799 Mg
2.314 -1.553 2.878 Mg
2.342 5.368 1.014 Mg
```

---

A relaxed structure of AcMg4Cd2, computed with PBE.

Computed properties:
energy of formation: -174 meV per atom
total DFT energy (no corrections): -27.06 eV for the cell shown

The structure in POSCAR format:
```
AcMg4Cd2
1.0
4.781 0.000 0.000
0.000 8.719 0.000
0.000 0.000 8.719
Cd Mg Ac
4 8 2
Cartesian
2.390 2.490 2.490 Cd
2.390 6.230 6.230 Cd
0.000 1.870 6.850 Cd
0.000 6.850 1.870 Cd
2.390 5.167 1.347 Mg
0.000 0.807 3.013 Mg
0.000 7.912 5.707 Mg
0.000 3.013 0.807 Mg
2.390 7.372 3.553 Mg
2.390 3.553 7.372 Mg
2.390 1.347 5.167 Mg
0.000 5.707 7.912 Mg
2.390 0.000 0.000 Ac
0.000 4.360 4.360 Ac
```

---

Which of these has the lowest energy of formation? Ac3MgCd2

---

Among the records above, which one has the highest total DFT energy (no corrections)? AcMg2Cd9

---

Among the records above, which one has the lowest energy of formation? Ac3MgCd2